No. 1
NaSiPO2 | GGA-PBE | relaxed

Calculated values
E_form (uncorrected) ... 4.5 eV per formula unit
D(E_F) ... 3.8 states/eV per cell
Magnetic moment ... 2.753 μB per cell

abc: 3.9543 3.9543 5.3164
angles: 90.00 90.00 90.00
Space group P4/mmm (No. 123)
Asymmetric unit:
Na (0.0000, 0.0000, 0.0000) [1 per cell]
Si (0.5000, 0.5000, 0.5000) [1 per cell]
P (0.0000, 0.0000, 0.5000) [1 per cell]
O (0.0000, 0.5000, 0.0000) [2 per cell]


No. 2
Pu2UGa9 | GGA-PBE | relaxed

Calculated values
ΔH_f (0 K) ... -326 meV per atom
D(E_F) ... 22.2 states/eV per cell
Magnetic moment ... 12.886 μB per cell

abc: 4.2803 4.2803 12.7997
angles: 90.00 90.00 90.00
Space group P4/mmm (No. 123)
Asymmetric unit:
Pu (0.0000, 0.0000, 0.1676) [2 per cell]
U (0.0000, 0.0000, 0.5000) [1 per cell]
Ga (0.0000, 0.5000, 0.0000) [2 per cell]
Ga (0.0000, 0.5000, 0.3338) [4 per cell]
Ga (0.5000, 0.5000, 0.1661) [2 per cell]
Ga (0.5000, 0.5000, 0.5000) [1 per cell]


No. 3
Na2VCr2Te6 | GGA-PBE | relaxed

Calculated values
E_form (uncorrected) ... -4.8 eV per formula unit
D(E_F) ... 13.7 states/eV per cell
Magnetic moment ... 14.577 μB per cell

abc: 6.8198 11.7754 8.0642
angles: 90.00 106.31 90.00
Space group C2/m (No. 12)
Asymmetric unit:
Na (0.0000, 0.1661, 0.0000) [4 per cell]
V (0.0000, 0.0000, 0.5000) [2 per cell]
Cr (0.0000, 0.3322, 0.5000) [4 per cell]
Te (0.2307, 0.5000, 0.6998) [4 per cell]
Te (0.2352, 0.1669, 0.7007) [8 per cell]


No. 4
TlSbRh | GGA-PBE | relaxed

Calculated values
E_form (uncorrected) ... -0.3 eV per formula unit
D(E_F) ... 7.7 states/eV per cell
Magnetic moment ... 0.000 μB per cell

abc: 6.5165 6.5165 6.5165
angles: 90.00 90.00 90.00
Space group F-43m (No. 216)
Asymmetric unit:
Tl (0.0000, 0.0000, 0.0000) [4 per cell]
Sb (0.0000, 0.0000, 0.5000) [4 per cell]
Rh (0.2500, 0.2500, 0.7500) [4 per cell]


Question: Which of these has the highest D(E_F)?
Answer: Pu2UGa9


Question: What is the formula in the fourth record?
Answer: TlSbRh


Question: What is the D(E_F) in the fourth record?
Answer: 7.7 states/eV per cell


Question: Look up the D(E_F) of the third one.
Answer: 13.7 states/eV per cell